LaTm2NiSn3Ir2: relaxed, PBE.

The structure belongs to space group Amm2 (No. 38); the cell edges are 3.926, 13.007 and 7.484 Å and the angles 90.00°, 90.00° and 90.00°. The inequivalent atoms are La at (0.000, 0.000, 0.000), Tm at (0.000, 0.204, 0.616), Ni at (0.000, 0.000, 0.418), Sn at (0.500, 0.000, 0.659), Sn at (0.500, 0.129, 0.291) and Ir at (0.500, 0.170, 0.913).

As for the total DFT energy (no corrections): -6.232 eV/atom.